PBEsol LaCuAs2Br, optimized geometry; space group = P4/mmm (123); formation energy without anion corrections = 608 meV per atom; excess energy over the best structure of this formula in the dataset = 1081 meV/atom; total moment = 0.18 μB per atom
1.0
5.667 0.000 0.000
0.000 5.667 0.000
0.000 0.000 5.616
La Cu As Br
1 1 2 1
direct
0.000 0.000 0.000 La
0.500 0.500 0.500 Cu
0.000 0.500 0.000 As
0.500 0.000 0.000 As
0.000 0.000 0.500 Br